[1]
{
  "formula": "K2PaCd2O6",
  "functional": "PBE-GGA",
  "state": "relaxed",
  "lattice": [[-5.575, -2.353, 2.393], [-3.022, -4.909, -3.020], [0.223, -6.364, 3.110]],
  "species": ["O", "O", "O", "O", "O", "O", "Pa", "K", "K", "Cd", "Cd"],
  "frac_coords": [[0.775, 0.220, 0.229], [0.775, 0.775, 0.229], [0.780, 0.225, 0.771], [0.225, 0.225, 0.771], [0.225, 0.780, 0.771], [0.220, 0.775, 0.229], [0.000, 0.000, 0.000], [0.799, 0.799, 0.604], [0.201, 0.201, 0.396], [0.590, 0.590, 0.231], [0.410, 0.410, 0.769]],
  "total_magnetization_mub_per_cell": 0.36,
  "crystal_system": "trigonal",
  "formation_energy_uncorrected_ev_per_atom": -1.81,
  "dos_at_fermi_per_ev_cell": 11.62
}

[2]
{
  "formula": "K2PaCdO4",
  "functional": "PBE-GGA",
  "state": "relaxed",
  "lattice": [[-2.856, -2.158, 0.278], [3.094, -4.561, -3.608], [1.217, -0.764, 6.570]],
  "species": ["K", "K", "Pa", "O", "O", "O", "O", "Cd"],
  "frac_coords": [[0.000, 0.500, 0.500], [0.500, 0.000, 0.500], [0.500, 0.500, 0.000], [0.000, 0.313, 0.803], [0.500, 0.698, 0.818], [0.000, 0.687, 0.197], [0.500, 0.302, 0.182], [0.000, 0.000, 0.000]],
  "total_magnetization_mub_per_cell": 0.00,
  "crystal_system": "monoclinic",
  "formation_energy_uncorrected_ev_per_atom": -2.15,
  "dos_at_fermi_per_ev_cell": 1.96
}

[3]
{
  "formula": "K2CdPbO",
  "functional": "PBE-GGA",
  "state": "relaxed",
  "lattice": [[-3.707, -3.724, 0.820], [0.141, -1.224, -4.921], [3.810, -3.573, 0.999]],
  "species": ["Cd", "Pb", "K", "K", "O"],
  "frac_coords": [[0.500, 0.500, 0.500], [0.000, 0.500, 0.000], [0.000, 0.000, 0.500], [0.500, 0.000, 0.000], [0.000, 0.000, 0.000]],
  "total_magnetization_mub_per_cell": 0.00,
  "crystal_system": "tetragonal",
  "formation_energy_uncorrected_ev_per_atom": -0.49,
  "dos_at_fermi_per_ev_cell": 2.98
}

[4]
{
  "formula": "K2Cd2PbO4",
  "functional": "PBE-GGA",
  "state": "relaxed",
  "lattice": [[3.771, 0.000, 0.000], [-1.886, 7.041, -2.365], [0.000, -4.335, 8.155]],
  "species": ["O", "O", "O", "O", "K", "K", "Cd", "Cd", "Pb"],
  "frac_coords": [[0.779, 0.557, 0.890], [0.221, 0.443, 0.110], [0.568, 0.136, 0.261], [0.432, 0.864, 0.739], [0.814, 0.628, 0.424], [0.186, 0.372, 0.576], [0.628, 0.256, 0.884], [0.372, 0.744, 0.116], [0.000, 0.000, 0.000]],
  "total_magnetization_mub_per_cell": 0.00,
  "crystal_system": "monoclinic",
  "formation_energy_uncorrected_ev_per_atom": -1.09
}

[5]
{
  "formula": "KCdPbO3",
  "functional": "PBE-GGA",
  "state": "relaxed",
  "lattice": [[3.586, 0.000, 0.000], [0.000, 7.562, 0.898], [0.000, -1.939, 9.389]],
  "species": ["O", "O", "O", "O", "O", "O", "Pb", "Pb", "K", "K", "Cd", "Cd"],
  "frac_coords": [[0.750, 0.408, 0.104], [0.250, 0.592, 0.896], [0.750, 0.798, 0.190], [0.250, 0.840, 0.558], [0.250, 0.202, 0.810], [0.750, 0.160, 0.442], [0.250, 0.622, 0.130], [0.750, 0.378, 0.870], [0.750, 0.836, 0.773], [0.250, 0.164, 0.227], [0.250, 0.151, 0.575], [0.750, 0.849, 0.425]],
  "total_magnetization_mub_per_cell": 0.00,
  "crystal_system": "monoclinic",
  "formation_energy_uncorrected_ev_per_atom": -1.01,
  "dos_at_fermi_per_ev_cell": 2.36
}

[6]
{
  "formula": "K2CdPbO4",
  "functional": "PBE-GGA",
  "state": "relaxed",
  "lattice": [[3.475, 0.000, 0.000], [0.000, 6.006, 0.105], [0.000, -2.104, 6.145]],
  "species": ["O", "O", "O", "O", "Pb", "K", "K", "Cd"],
  "frac_coords": [[0.500, 0.747, 0.812], [0.500, 0.253, 0.188], [0.000, 0.720, 0.198], [0.000, 0.280, 0.802], [0.500, 0.500, 0.000], [0.500, 0.000, 0.500], [0.000, 0.500, 0.500], [0.000, 0.000, 0.000]],
  "total_magnetization_mub_per_cell": 0.00,
  "crystal_system": "monoclinic",
  "formation_energy_uncorrected_ev_per_atom": -1.22
}